Material: WC2
Method: DFT, PBE
State: relaxed

Values from the calculation:
For the total magnetic moment, the calculation gives 0.00 Bohr magnetons per cell. The value obtained for the relative energy among the computed polymorphs is 0.931 eV/f.u. The value obtained for the density is 12.69 Mg/m³. The calculation puts the formation energy from the elements at 0.826 eV per atom. Its crystal system is tetragonal.

a b c (Å): 2.9211 2.9211 6.3733
angles (deg): 90.00 90.00 90.00
With the nearest neighbours (Å) after each atom.
Atoms (fractional coordinates):
W1 0.2500 0.2500 0.2370  9 C 2.20-2.26
W2 0.7500 0.7500 0.7630  9 C 2.20-2.26
C1 0.2500 0.2500 0.8822  5 W 2.20-2.26
C2 0.2500 0.7500 0.5000  4 C 2.07, 4 W 2.22
C3 0.7500 0.2500 0.5000  4 C 2.07, 4 W 2.22
C4 0.7500 0.7500 0.1178  5 W 2.20-2.26

---

Material: PrSm2In2
Method: DFT, PBE
State: relaxed

Values from the calculation:
For the total magnetic moment, the calculation gives 0.00 Bohr magnetons per cell. The value obtained for the relative energy among the computed polymorphs is 0.520 eV/f.u. The value obtained for the density is 7.14 Mg/m³. The calculation puts the formation energy from the elements at -0.281 eV per atom. Its crystal system is monoclinic.

a b c (Å): 6.9491 5.1840 9.3337
angles (deg): 90.00 111.77 90.00
With the nearest neighbours (Å) after each atom.
Atoms (fractional coordinates):
Pr1 0.0890 0.2500 0.1708  4 In 3.32, 2 Sm 3.53-3.55
Pr2 0.9110 0.7500 0.8292  4 In 3.32, 2 Sm 3.53-3.55
Sm1 0.2683 0.7500 0.5398  1 Sm 3.17, 6 In 3.19-3.53
Sm2 0.4504 0.7500 0.9051  3 Sm 3.07-3.17, 6 In 3.28-3.35
Sm3 0.5496 0.2500 0.0949  3 Sm 3.07-3.17, 6 In 3.28-3.35
Sm4 0.7317 0.2500 0.4602  1 Sm 3.17, 6 In 3.19-3.53
In1 0.1556 0.2500 0.7533  1 In 3.03, 4 Sm 3.19-3.34, 2 Pr 3.32
In2 0.4104 0.7500 0.2515  1 In 3.03, 4 Sm 3.19-3.35, 2 Pr 3.32
In3 0.5896 0.2500 0.7485  1 In 3.03, 4 Sm 3.19-3.35, 2 Pr 3.32
In4 0.8444 0.7500 0.2467  1 In 3.03, 4 Sm 3.19-3.34, 2 Pr 3.32

---

Material: Mg2SiMo
Method: DFT, PBE
State: relaxed

Values from the calculation:
As for the raw formation energy: 0.512 eV/atom. For the total magnetic moment, the calculation gives 0.00 Bohr magnetons per cell. The value obtained for the density is 3.97 Mg/m³. Its crystal system is tetragonal.

a b c (Å): 5.9006 5.9006 5.9006
angles (deg): 100.81 100.81 128.67
With the nearest neighbours (Å) after each atom.
Atoms (fractional coordinates):
Mg1 0.0994 0.6250 0.9744  2 Mg 2.58, 2 Si 2.61, 2 Mo 2.87
Mg2 0.3750 0.3494 0.4744  2 Mg 2.58, 2 Si 2.61, 2 Mo 2.87
Mg3 0.6506 0.1250 0.0256  2 Mg 2.58, 2 Si 2.61, 2 Mo 2.87
Mg4 0.8750 0.9006 0.5256  2 Mg 2.58, 2 Si 2.61, 2 Mo 2.87
Si1 0.0000 0.0000 0.0000  2 Mo 2.56, 4 Mg 2.61
Si2 0.7500 0.2500 0.5000  2 Mo 2.56, 4 Mg 2.61
Mo1 0.2500 0.7500 0.5000  2 Si 2.56
Mo2 0.5000 0.5000 0.0000  2 Si 2.56

---

Material: Pr2NdYHo
Method: DFT, PBE
State: relaxed

Values from the calculation:
For the total magnetic moment, the calculation gives 0.00 Bohr magnetons per cell. The value obtained for the density is 6.14 Mg/m³. The calculation puts the formation energy from the elements at 0.406 eV per atom. Its crystal system is orthorhombic.

a b c (Å): 7.2596 7.2596 7.3426
angles (deg): 90.00 90.00 108.17
With the nearest neighbours (Å) after each atom.
Atoms (fractional coordinates):
Pr1 0.1915 0.1915 0.0000  2 Y 3.21, 1 Pr 3.26
Pr2 0.1915 0.1915 0.5000  2 Y 3.21, 1 Pr 3.26
Pr3 0.8085 0.8085 0.0000  2 Y 3.21, 1 Pr 3.26
Pr4 0.8085 0.8085 0.5000  2 Y 3.21, 1 Pr 3.26
Nd1 0.2235 0.7765 0.7500  1 Y 3.12
Nd2 0.7765 0.2235 0.2500  1 Y 3.12
Y1 0.4888 0.5112 0.7500  1 Nd 3.12, 4 Pr 3.21, 1 Ho 3.25
Y2 0.5112 0.4888 0.2500  1 Nd 3.12, 4 Pr 3.21, 1 Ho 3.25
Ho1 0.2347 0.7653 0.2500  1 Y 3.25
Ho2 0.7653 0.2347 0.7500  1 Y 3.25